Entry 1:
Density functional theory data (PBE) for an optimized crystal structure of AcScS.

For the energy relative to the lowest polymorph listed for this composition, the calculation gives 0.0000 eV per atom. The value obtained for the energy relative to the elements, uncorrected is -1.128 eV/atom. Its calculated density is 5.72 g cm⁻³. As for the total energy: -5.98 eV per atom. As for the calculated volume: 176.7 Å³/cell. For the density of states at the Fermi level, the calculation gives 3.778 states/eV/f.u.

Structure (CIF):
```
data_AcScS
_symmetry_space_group_name_H-M 'P 1'
_symmetry_Int_Tables_number 1
_cell_length_a 4.985
_cell_length_b 6.029
_cell_length_c 7.053
_cell_angle_alpha 64.71
_cell_angle_beta 69.49
_cell_angle_gamma 90.00
loop_
_symmetry_equiv_pos_as_xyz
'x,y,z'
loop_
_atom_site_label
_atom_site_type_symbol
_atom_site_fract_x
_atom_site_fract_y
_atom_site_fract_z
Sc1 Sc 0.146 0.896 0.708
Sc2 Sc 0.854 0.104 0.292
S1 S 0.365 0.116 0.268
S2 S 0.635 0.884 0.732
Ac1 Ac 0.618 0.367 0.766
Ac2 Ac 0.382 0.633 0.234
```

=====

Entry 2:
Density functional theory data (PBE) for an optimized crystal structure of AcSc6S8.

The value obtained for the energy relative to the elements, uncorrected is -1.740 eV/atom. Its calculated density is 3.63 g cm⁻³. As for the total energy: -6.75 eV per atom. As for the calculated volume: 344.6 Å³/cell. For the density of states at the Fermi level, the calculation gives 11.017 states/eV/f.u.

Structure (CIF):
```
data_AcSc6S8
_symmetry_space_group_name_H-M 'P 1'
_symmetry_Int_Tables_number 1
_cell_length_a 7.011
_cell_length_b 7.011
_cell_length_c 7.011
_cell_angle_alpha 90.48
_cell_angle_beta 90.48
_cell_angle_gamma 90.48
loop_
_symmetry_equiv_pos_as_xyz
'x,y,z'
loop_
_atom_site_label
_atom_site_type_symbol
_atom_site_fract_x
_atom_site_fract_y
_atom_site_fract_z
Sc1 Sc 0.573 0.192 0.406
Sc2 Sc 0.808 0.594 0.427
Sc3 Sc 0.427 0.808 0.594
Sc4 Sc 0.594 0.427 0.808
Sc5 Sc 0.192 0.406 0.573
Sc6 Sc 0.406 0.573 0.192
S1 S 0.373 0.135 0.731
S2 S 0.627 0.865 0.269
S3 S 0.269 0.627 0.865
S4 S 0.865 0.269 0.627
S5 S 0.750 0.750 0.750
S6 S 0.250 0.250 0.250
S7 S 0.731 0.373 0.135
S8 S 0.135 0.731 0.373
Ac1 Ac 0.000 0.000 0.000
```

=====

Entry 3:
Density functional theory data (PBE) for an optimized crystal structure of Ac3Sc5S12.

The value obtained for the energy relative to the elements, uncorrected is -1.969 eV/atom. Its calculated density is 4.15 g cm⁻³. As for the total energy: -6.64 eV per atom. As for the calculated volume: 2065.7 Å³/cell. For the density of states at the Fermi level, the calculation gives 0.000 states/eV/f.u.

Structure (CIF):
```
data_Ac3Sc5S12
_symmetry_space_group_name_H-M 'P 1'
_symmetry_Int_Tables_number 1
_cell_length_a 13.896
_cell_length_b 13.896
_cell_length_c 13.896
_cell_angle_alpha 109.47
_cell_angle_beta 109.47
_cell_angle_gamma 109.47
loop_
_symmetry_equiv_pos_as_xyz
'x,y,z'
loop_
_atom_site_label
_atom_site_type_symbol
_atom_site_fract_x
_atom_site_fract_y
_atom_site_fract_z
S1 S 0.121 0.414 0.091
S2 S 0.879 0.586 0.909
S3 S 0.970 0.379 0.293
S4 S 0.970 0.591 0.177
S5 S 0.091 0.177 0.470
S6 S 0.530 0.323 0.909
S7 S 0.379 0.970 0.793
S8 S 0.177 0.091 0.970
S9 S 0.121 0.707 0.530
S10 S 0.086 0.177 0.207
S11 S 0.091 0.914 0.121
S12 S 0.586 0.879 0.409
S13 S 0.586 0.707 0.677
S14 S 0.677 0.207 0.586
S15 S 0.591 0.970 0.677
S16 S 0.030 0.621 0.707
S17 S 0.914 0.823 0.793
S18 S 0.621 0.030 0.207
S19 S 0.177 0.086 0.707
S20 S 0.379 0.409 0.086
S21 S 0.293 0.879 0.970
S22 S 0.086 0.909 0.379
S23 S 0.470 0.793 0.879
S24 S 0.591 0.621 0.414
S25 S 0.677 0.470 0.591
S26 S 0.323 0.530 0.409
S27 S 0.914 0.091 0.621
S28 S 0.823 0.914 0.293
S29 S 0.293 0.414 0.823
S30 S 0.879 0.293 0.470
S31 S 0.470 0.677 0.091
S32 S 0.793 0.470 0.379
S33 S 0.207 0.677 0.086
S34 S 0.909 0.086 0.879
S35 S 0.030 0.409 0.823
S36 S 0.621 0.591 0.914
S37 S 0.409 0.030 0.323
S38 S 0.823 0.909 0.030
S39 S 0.707 0.121 0.030
S40 S 0.414 0.293 0.323
S41 S 0.707 0.586 0.177
S42 S 0.414 0.121 0.591
S43 S 0.793 0.323 0.914
S44 S 0.530 0.207 0.121
S45 S 0.409 0.379 0.586
S46 S 0.909 0.823 0.530
S47 S 0.207 0.530 0.621
S48 S 0.323 0.793 0.414
Sc1 Sc 0.875 0.250 0.625
Sc2 Sc 0.750 0.125 0.875
Sc3 Sc 0.000 0.500 0.000
Sc4 Sc 0.250 0.875 0.125
Sc5 Sc 0.500 0.000 0.000
Sc6 Sc 0.500 0.500 0.000
Sc7 Sc 0.875 0.625 0.750
Sc8 Sc 0.125 0.750 0.375
Sc9 Sc 0.375 0.250 0.125
Sc10 Sc 0.125 0.375 0.250
Sc11 Sc 0.750 0.625 0.375
Sc12 Sc 0.625 0.875 0.250
Sc13 Sc 0.500 0.500 0.500
Sc14 Sc 0.375 0.125 0.750
Sc15 Sc 0.000 0.000 0.000
Sc16 Sc 0.000 0.000 0.500
Sc17 Sc 0.250 0.375 0.625
Sc18 Sc 0.000 0.500 0.500
Sc19 Sc 0.500 0.000 0.500
Sc20 Sc 0.625 0.750 0.875
Ac1 Ac 0.875 0.125 0.250
Ac2 Ac 0.875 0.750 0.125
Ac3 Ac 0.625 0.375 0.750
Ac4 Ac 0.125 0.250 0.875
Ac5 Ac 0.250 0.625 0.875
Ac6 Ac 0.375 0.750 0.625
Ac7 Ac 0.750 0.375 0.125
Ac8 Ac 0.625 0.250 0.375
Ac9 Ac 0.375 0.625 0.250
Ac10 Ac 0.750 0.875 0.625
Ac11 Ac 0.125 0.875 0.750
Ac12 Ac 0.250 0.125 0.375
```

=====

Entry 4:
Density functional theory data (PBE) for an optimized crystal structure of AcScS4.

For the energy relative to the lowest polymorph listed for this composition, the calculation gives 0.0212 eV per atom. The value obtained for the energy relative to the elements, uncorrected is -1.481 eV/atom. Its calculated density is 4.54 g cm⁻³. As for the total energy: -5.97 eV per atom. As for the calculated volume: 292.9 Å³/cell. For the density of states at the Fermi level, the calculation gives 0.577 states/eV/f.u.

Structure (CIF):
```
data_AcScS4
_symmetry_space_group_name_H-M 'P 1'
_symmetry_Int_Tables_number 1
_cell_length_a 7.069
_cell_length_b 7.481
_cell_length_c 7.338
_cell_angle_alpha 115.86
_cell_angle_beta 113.81
_cell_angle_gamma 98.79
loop_
_symmetry_equiv_pos_as_xyz
'x,y,z'
loop_
_atom_site_label
_atom_site_type_symbol
_atom_site_fract_x
_atom_site_fract_y
_atom_site_fract_z
S1 S 0.265 0.968 0.563
S2 S 0.553 0.272 0.080
S3 S 0.202 0.405 0.437
S4 S 0.027 0.808 0.080
S5 S 0.798 0.595 0.563
S6 S 0.447 0.728 0.920
S7 S 0.973 0.192 0.920
S8 S 0.735 0.032 0.437
Sc1 Sc 0.170 0.920 0.841
Sc2 Sc 0.830 0.080 0.159
Ac1 Ac 0.382 0.632 0.265
Ac2 Ac 0.618 0.368 0.735
```

=====

Entry 5:
Density functional theory data (PBE) for an optimized crystal structure of AcSc2S4.

The value obtained for the energy relative to the elements, uncorrected is -2.016 eV/atom. Its calculated density is 4.79 g cm⁻³. As for the total energy: -6.77 eV per atom. As for the calculated volume: 308.9 Å³/cell. For the density of states at the Fermi level, the calculation gives 2.003 states/eV/f.u.

Structure (CIF):
```
data_AcSc2S4
_symmetry_space_group_name_H-M 'P 1'
_symmetry_Int_Tables_number 1
_cell_length_a 3.897
_cell_length_b 6.459
_cell_length_c 12.872
_cell_angle_alpha 90.00
_cell_angle_beta 90.00
_cell_angle_gamma 107.56
loop_
_symmetry_equiv_pos_as_xyz
'x,y,z'
loop_
_atom_site_label
_atom_site_type_symbol
_atom_site_fract_x
_atom_site_fract_y
_atom_site_fract_z
S1 S 0.233 0.467 0.888
S2 S 0.767 0.533 0.112
S3 S 0.233 0.467 0.612
S4 S 0.500 0.000 0.500
S5 S 0.064 0.128 0.250
S6 S 0.767 0.533 0.388
S7 S 0.936 0.872 0.750
S8 S 0.500 0.000 0.000
Ac1 Ac 0.383 0.766 0.250
Ac2 Ac 0.617 0.234 0.750
Sc1 Sc 0.872 0.744 0.560
Sc2 Sc 0.128 0.256 0.440
Sc3 Sc 0.872 0.744 0.940
Sc4 Sc 0.128 0.256 0.060
```

=====

Entry 6:
Density functional theory data (PBE) for an optimized crystal structure of AcScS4.

For the energy relative to the lowest polymorph listed for this composition, the calculation gives 0.0000 eV per atom. The value obtained for the energy relative to the elements, uncorrected is -1.502 eV/atom. Its calculated density is 3.76 g cm⁻³. As for the total energy: -5.99 eV per atom. As for the calculated volume: 353.3 Å³/cell.

Structure (CIF):
```
data_AcScS4
_symmetry_space_group_name_H-M 'P 1'
_symmetry_Int_Tables_number 1
_cell_length_a 7.061
_cell_length_b 6.901
_cell_length_c 8.077
_cell_angle_alpha 115.29
_cell_angle_beta 83.83
_cell_angle_gamma 90.00
loop_
_symmetry_equiv_pos_as_xyz
'x,y,z'
loop_
_atom_site_label
_atom_site_type_symbol
_atom_site_fract_x
_atom_site_fract_y
_atom_site_fract_z
Ac1 Ac 0.870 0.856 0.712
Ac2 Ac 0.130 0.144 0.288
S1 S 0.493 0.319 0.144
S2 S 0.859 0.301 0.603
S3 S 0.000 0.246 0.000
S4 S 0.507 0.175 0.856
S5 S 0.000 0.754 0.000
S6 S 0.141 0.699 0.397
S7 S 0.493 0.825 0.144
S8 S 0.507 0.681 0.856
Sc1 Sc 0.747 0.473 0.945
Sc2 Sc 0.253 0.527 0.055
```

=====

Entry 7:
Density functional theory data (PBE) for an optimized crystal structure of AcScS.

For the energy relative to the lowest polymorph listed for this composition, the calculation gives 0.0497 eV per atom. The value obtained for the energy relative to the elements, uncorrected is -1.078 eV/atom. Its calculated density is 5.89 g cm⁻³. As for the total energy: -5.93 eV per atom. As for the calculated volume: 85.8 Å³/cell. For the density of states at the Fermi level, the calculation gives 2.864 states/eV/f.u.

Structure (CIF):
```
data_AcScS
_symmetry_space_group_name_H-M 'P 1'
_symmetry_Int_Tables_number 1
_cell_length_a 3.881
_cell_length_b 3.881
_cell_length_c 6.577
_cell_angle_alpha 90.00
_cell_angle_beta 90.00
_cell_angle_gamma 120.00
loop_
_symmetry_equiv_pos_as_xyz
'x,y,z'
loop_
_atom_site_label
_atom_site_type_symbol
_atom_site_fract_x
_atom_site_fract_y
_atom_site_fract_z
Sc1 Sc 0.667 0.333 0.435
Ac1 Ac 0.000 0.000 0.937
S1 S 0.333 0.667 0.627
```

=====

Entry 8:
Density functional theory data (PBE) for an optimized crystal structure of AcScSeS2.

The value obtained for the energy relative to the elements, uncorrected is -1.946 eV/atom. Its calculated density is 5.60 g cm⁻³. As for the total energy: -6.38 eV per atom. As for the calculated volume: 246.2 Å³/cell.

Structure (CIF):
```
data_AcScSeS2
_symmetry_space_group_name_H-M 'P 1'
_symmetry_Int_Tables_number 1
_cell_length_a 6.861
_cell_length_b 6.861
_cell_length_c 7.133
_cell_angle_alpha 118.74
_cell_angle_beta 118.74
_cell_angle_gamma 90.00
loop_
_symmetry_equiv_pos_as_xyz
'x,y,z'
loop_
_atom_site_label
_atom_site_type_symbol
_atom_site_fract_x
_atom_site_fract_y
_atom_site_fract_z
Ac1 Ac 0.250 0.750 0.500
Ac2 Ac 0.750 0.250 0.500
S1 S 0.672 0.172 0.000
S2 S 0.828 0.672 0.000
S3 S 0.172 0.328 0.000
S4 S 0.328 0.828 0.000
Sc1 Sc 0.000 0.000 0.000
Sc2 Sc 0.500 0.500 0.000
Se1 Se 0.250 0.250 0.500
Se2 Se 0.750 0.750 0.500
```

=====

Entry 9:
Density functional theory data (PBE) for an optimized crystal structure of AcScSe2S.

The value obtained for the energy relative to the elements, uncorrected is -1.840 eV/atom. Its calculated density is 5.82 g cm⁻³. As for the total energy: -6.15 eV per atom. As for the calculated volume: 263.7 Å³/cell. For the density of states at the Fermi level, the calculation gives 0.000 states/eV/f.u.

Structure (CIF):
```
data_AcScSe2S
_symmetry_space_group_name_H-M 'P 1'
_symmetry_Int_Tables_number 1
_cell_length_a 7.222
_cell_length_b 7.222
_cell_length_c 7.186
_cell_angle_alpha 120.17
_cell_angle_beta 120.17
_cell_angle_gamma 90.00
loop_
_symmetry_equiv_pos_as_xyz
'x,y,z'
loop_
_atom_site_label
_atom_site_type_symbol
_atom_site_fract_x
_atom_site_fract_y
_atom_site_fract_z
Se1 Se 0.679 0.179 0.000
Se2 Se 0.821 0.679 0.000
Se3 Se 0.179 0.321 0.000
Se4 Se 0.321 0.821 0.000
S1 S 0.250 0.250 0.500
S2 S 0.750 0.750 0.500
Sc1 Sc 0.000 0.000 0.000
Sc2 Sc 0.500 0.500 0.000
Ac1 Ac 0.250 0.750 0.500
Ac2 Ac 0.750 0.250 0.500
```

=====

Entry 10:
Density functional theory data (PBE) for an optimized crystal structure of AcSm2ScS6.

The value obtained for the energy relative to the elements, uncorrected is -1.985 eV/atom. Its calculated density is 4.72 g cm⁻³. As for the total energy: -6.45 eV per atom. As for the calculated volume: 269.3 Å³/cell. For the density of states at the Fermi level, the calculation gives 0.000 states/eV/f.u.

Structure (CIF):
```
data_AcSm2ScS6
_symmetry_space_group_name_H-M 'P 1'
_symmetry_Int_Tables_number 1
_cell_length_a 7.067
_cell_length_b 7.067
_cell_length_c 7.446
_cell_angle_alpha 61.66
_cell_angle_beta 61.66
_cell_angle_gamma 60.00
loop_
_symmetry_equiv_pos_as_xyz
'x,y,z'
loop_
_atom_site_label
_atom_site_type_symbol
_atom_site_fract_x
_atom_site_fract_y
_atom_site_fract_z
Sc1 Sc 0.321 0.321 0.037
S1 S 0.220 0.943 0.246
S2 S 0.387 0.707 0.757
S3 S 0.707 0.150 0.757
S4 S 0.149 0.387 0.757
S5 S 0.592 0.220 0.246
S6 S 0.943 0.591 0.246
Sm1 Sm 0.014 0.014 0.959
Sm2 Sm 0.524 0.524 0.427
Ac1 Ac 0.805 0.805 0.585
```

=====

Entry 11:
Density functional theory data (PBE) for an optimized crystal structure of Ac2SmScS6.

The value obtained for the energy relative to the elements, uncorrected is -2.101 eV/atom. Its calculated density is 5.41 g cm⁻³. As for the total energy: -6.50 eV per atom. As for the calculated volume: 516.9 Å³/cell. For the density of states at the Fermi level, the calculation gives 0.000 states/eV/f.u.

Structure (CIF):
```
data_Ac2SmScS6
_symmetry_space_group_name_H-M 'P 1'
_symmetry_Int_Tables_number 1
_cell_length_a 6.887
_cell_length_b 7.478
_cell_length_c 10.037
_cell_angle_alpha 90.00
_cell_angle_beta 89.29
_cell_angle_gamma 90.00
loop_
_symmetry_equiv_pos_as_xyz
'x,y,z'
loop_
_atom_site_label
_atom_site_type_symbol
_atom_site_fract_x
_atom_site_fract_y
_atom_site_fract_z
S1 S 0.195 0.184 0.060
S2 S 0.379 0.962 0.760
S3 S 0.879 0.538 0.260
S4 S 0.176 0.199 0.438
S5 S 0.121 0.462 0.740
S6 S 0.824 0.801 0.562
S7 S 0.695 0.316 0.560
S8 S 0.676 0.301 0.938
S9 S 0.805 0.816 0.940
S10 S 0.305 0.684 0.440
S11 S 0.621 0.038 0.240
S12 S 0.324 0.699 0.062
Sc1 Sc 0.000 0.500 0.500
Sc2 Sc 0.500 0.000 0.000
Sm1 Sm 0.500 0.000 0.500
Sm2 Sm 0.000 0.500 0.000
Ac1 Ac 0.970 0.087 0.749
Ac2 Ac 0.470 0.413 0.249
Ac3 Ac 0.030 0.913 0.251
Ac4 Ac 0.530 0.587 0.751
```

=====

Entry 12:
Density functional theory data (PBE) for an optimized crystal structure of Ac3Sm3ScS8.

The value obtained for the energy relative to the elements, uncorrected is -2.014 eV/atom. Its calculated density is 6.04 g cm⁻³. As for the total energy: -6.40 eV per atom. As for the calculated volume: 394.0 Å³/cell. For the density of states at the Fermi level, the calculation gives 7.621 states/eV/f.u.

Structure (CIF):
```
data_Ac3Sm3ScS8
_symmetry_space_group_name_H-M 'P 1'
_symmetry_Int_Tables_number 1
_cell_length_a 8.128
_cell_length_b 8.128
_cell_length_c 8.333
_cell_angle_alpha 119.19
_cell_angle_beta 90.00
_cell_angle_gamma 120.00
loop_
_symmetry_equiv_pos_as_xyz
'x,y,z'
loop_
_atom_site_label
_atom_site_type_symbol
_atom_site_fract_x
_atom_site_fract_y
_atom_site_fract_z
S1 S 0.768 0.012 0.280
S2 S 0.756 0.988 0.720
S3 S 0.743 0.486 0.729
S4 S 0.768 0.536 0.280
S5 S 0.257 0.514 0.271
S6 S 0.244 0.012 0.280
S7 S 0.232 0.464 0.720
S8 S 0.232 0.988 0.720
Sm1 Sm 0.500 0.500 0.500
Sm2 Sm 0.000 0.500 0.500
Sm3 Sm 0.500 0.000 0.500
Ac1 Ac 0.000 0.000 0.000
Ac2 Ac 0.500 0.500 0.000
Ac3 Ac 0.000 0.500 0.000
Sc1 Sc 0.000 0.000 0.500
```